The following is a PBE-GGA calculation of a geometry-optimized Tb5Er5Sc2 structure, from the Alexandria database.

Structure (POSCAR):
```
Tb5Er5Sc2
1.0
5.494 0.000 0.000
-2.747 5.871 -0.340
0.000 -3.038 11.360
Sc Er Tb
2 5 5
Direct
0.963 0.925 0.289
0.037 0.075 0.711
0.000 0.000 0.000
0.752 0.503 0.748
0.248 0.497 0.252
0.798 0.595 0.454
0.202 0.405 0.546
0.294 0.588 0.952
0.706 0.412 0.048
0.536 0.071 0.215
0.500 0.000 0.500
0.464 0.929 0.785
```

Output
SG   No. 12
ΔH_f (0 K)   0.071 eV per atom
Crystal system   monoclinic